Record 1
In2RuW: relaxed, GGA-PBE.

Output
Excess energy over the best structure of this formula in the dataset = 387.3 meV/atom
Calculated formation energy = 579.2 meV per atom

Unit cell a=3.0578 b=5.0153 c=4.7246 alpha=90.00 beta=90.00 gamma=90.00
Element x y z (fractional)
Ru (0.5000, 0.0000, 0.5000)
In (0.5000, 0.5000, 0.0000)
W (0.0000, 0.5000, 0.5000)
In (0.0000, 0.0000, 0.0000)



Record 2
Rb2Mg2H7: relaxed, GGA-PBE.

Output
Total energy = -2.5616 eV per atom

Unit cell a=5.9753 b=5.4937 c=5.4937 alpha=84.40 beta=92.43 gamma=92.43
Last column: magnetic moment on the atom in μB.
Element x y z (fractional)
H (0.5000, 0.0000, 0.0000)  0.00
Rb (0.0000, 0.7578, 0.2422)  0.01
H (0.3534, 0.4848, 0.1282)  0.10
Rb (0.0000, 0.2422, 0.7578)  0.01
H (0.3534, 0.1282, 0.4848)  0.10
H (0.1531, 0.7289, 0.7289)  0.01
Mg (0.5441, 0.2260, 0.2260)  0.00
Mg (0.4559, 0.7740, 0.7740)  0.00
H (0.8469, 0.2711, 0.2711)  0.01
H (0.6466, 0.8718, 0.5152)  0.10
H (0.6466, 0.5152, 0.8718)  0.10



Record 3
RbBaNb: relaxed, GGA-PBE.

Output
Excess energy over the best structure of this formula in the dataset = 526.6 meV/atom
Calculated formation energy = 981.9 meV per atom

Unit cell a=6.2866 b=6.2866 c=9.5700 alpha=90.00 beta=90.00 gamma=120.00
Element x y z (fractional)
Ba (0.3333, 0.6667, 0.7145)
Rb (0.6667, 0.3333, 0.0000)
Ba (0.3333, 0.6667, 0.2855)
Rb (0.6667, 0.3333, 0.5000)
Nb (0.0000, 0.0000, 0.6121)
Nb (0.0000, 0.0000, 0.3879)



Record 4
SmGdMgIr: relaxed, GGA-PBE.

Output
Calculated formation energy = -383.5 meV per atom

Unit cell a=5.1015 b=5.1015 c=5.1015 alpha=60.00 beta=60.00 gamma=60.00
Last column: magnetic moment on the atom in μB.
Element x y z (fractional)
Mg (0.7500, 0.7500, 0.7500)  0.00
Gd (0.0000, 0.0000, 0.0000)  7.00
Sm (0.5000, 0.5000, 0.5000)  0.00
Ir (0.2500, 0.2500, 0.2500)  -0.06